# RbPmTeI | the Alexandria database | PBE-GGA | optimized geometry
# Raw formation energy: -1209 meV/atom
data_RbPmTeI
_cell_length_a 7.8040
_cell_length_b 4.5122
_cell_length_c 9.3210
_cell_angle_alpha 90.00
_cell_angle_beta 106.15
_cell_angle_gamma 90.00
_space_group_name_H-M_alt 'C 1 m 1'
_space_group_IT_number 8
loop_
_space_group_symop_operation_xyz
'x,y,z'
'x,-y,z'
'x+1/2,y+1/2,z'
'x+1/2,-y+1/2,z'
loop_
_atom_site_label
_atom_site_type_symbol
_atom_site_fract_x
_atom_site_fract_y
_atom_site_fract_z
Rb1 Rb 0.0000 0.0000 0.0000
Pm1 Pm 0.1805 0.0000 0.5421
Te1 Te 0.0788 0.5000 0.7358
I1 I 0.2707 0.5000 0.3130

# RbPmTl2I6 | the Alexandria database | PBE-GGA | optimized geometry
# Raw formation energy: -1132 meV/atom
data_RbPmTl2I6
_cell_length_a 8.7519
_cell_length_b 8.7519
_cell_length_c 23.1562
_cell_angle_alpha 90.00
_cell_angle_beta 90.00
_cell_angle_gamma 120.00
_space_group_name_H-M_alt 'R 3'
_space_group_IT_number 146
_space_group_name_Hall 'R 3'
loop_
_atom_site_label
_atom_site_type_symbol
_atom_site_fract_x
_atom_site_fract_y
_atom_site_fract_z
Rb1 Rb 0.0000 0.0000 0.0000
Pm1 Pm 0.0000 0.0000 0.5109
Tl1 Tl 0.0000 0.0000 0.1943
Tl2 Tl 0.0000 0.0000 0.7061
I1 I 0.0494 0.3556 0.1046
I2 I 0.0596 0.6791 0.2625

# Pm2ReI | the Alexandria database | PBE-GGA | optimized geometry
# Raw formation energy: 652 meV/atom
data_Pm2ReI
_cell_length_a 3.5695
_cell_length_b 3.5695
_cell_length_c 30.7113
_cell_angle_alpha 90.00
_cell_angle_beta 90.00
_cell_angle_gamma 120.00
_space_group_name_H-M_alt 'R -3 m'
_space_group_IT_number 166
_space_group_name_Hall '-R 3 2"'
loop_
_atom_site_label
_atom_site_type_symbol
_atom_site_fract_x
_atom_site_fract_y
_atom_site_fract_z
Pm1 Pm 0.0000 0.0000 0.0835
Re1 Re 0.0000 0.0000 0.0000
I1 I 0.0000 0.0000 0.5000

# Pm4ReI5 | the Alexandria database | PBE-GGA | optimized geometry
# Raw formation energy: -942 meV/atom
data_Pm4ReI5
_cell_length_a 19.7958
_cell_length_b 4.1587
_cell_length_c 9.6032
_cell_angle_alpha 90.00
_cell_angle_beta 103.81
_cell_angle_gamma 90.00
_space_group_name_H-M_alt 'C 1 2/m 1'
_space_group_IT_number 12
loop_
_space_group_symop_operation_xyz
'x,y,z'
'-x,-y,-z'
'-x,y,-z'
'x,-y,z'
'x+1/2,y+1/2,z'
'-x+1/2,-y+1/2,-z'
'-x+1/2,y+1/2,-z'
'x+1/2,-y+1/2,z'
loop_
_atom_site_label
_atom_site_type_symbol
_atom_site_fract_x
_atom_site_fract_y
_atom_site_fract_z
Pm1 Pm 0.0003 0.0000 0.2221
Pm2 Pm 0.1374 0.5000 0.0703
Re1 Re 0.0000 0.5000 0.0000
I1 I 0.0000 0.5000 0.5000
I2 I 0.1671 0.0000 0.3308
I3 I 0.1704 0.0000 0.8379

# PmReI | the Alexandria database | PBE-GGA | optimized geometry
# Raw formation energy: -416 meV/atom
data_PmReI
_cell_length_a 4.2336
_cell_length_b 4.2250
_cell_length_c 10.5050
_cell_angle_alpha 90.00
_cell_angle_beta 101.00
_cell_angle_gamma 90.00
_space_group_name_H-M_alt 'P 1 21/m 1'
_space_group_IT_number 11
loop_
_space_group_symop_operation_xyz
'x,y,z'
'-x,-y,-z'
'-x,y+1/2,-z'
'x,-y+1/2,z'
loop_
_atom_site_label
_atom_site_type_symbol
_atom_site_fract_x
_atom_site_fract_y
_atom_site_fract_z
Pm1 Pm 0.0764 0.2500 0.1611
Re1 Re 0.4580 0.2500 0.9421
I1 I 0.3339 0.2500 0.6597

# Pm2RhI2 | the Alexandria database | PBE-GGA | optimized geometry
# Raw formation energy: -1060 meV/atom
data_Pm2RhI2
_cell_length_a 7.2402
_cell_length_b 4.1805
_cell_length_c 12.2749
_cell_angle_alpha 90.00
_cell_angle_beta 102.54
_cell_angle_gamma 90.00
_space_group_name_H-M_alt 'C 1 2/m 1'
_space_group_IT_number 12
loop_
_space_group_symop_operation_xyz
'x,y,z'
'-x,-y,-z'
'-x,y,-z'
'x,-y,z'
'x+1/2,y+1/2,z'
'-x+1/2,-y+1/2,-z'
'-x+1/2,y+1/2,-z'
'x+1/2,-y+1/2,z'
loop_
_atom_site_label
_atom_site_type_symbol
_atom_site_fract_x
_atom_site_fract_y
_atom_site_fract_z
Pm1 Pm 0.2154 0.0000 0.1327
Rh1 Rh 0.0000 0.5000 0.0000
I1 I 0.0510 0.0000 0.6853